Here is Hg2TeBr after structural relaxation from Alexandria. Energies are from PBE. Values from VASP.

Geometry as Quantum ESPRESSO input:
```
&SYSTEM
  ibrav = 0, nat = 8, ntyp = 3
/
ATOMIC_SPECIES
Hg 200.59 Hg.upf
Te 127.60 Te.upf
Br 79.90 Br.upf
CELL_PARAMETERS angstrom
4.435 0.000 0.000
-0.043 7.473 0.000
-2.158 -1.469 7.187
ATOMIC_POSITIONS angstrom
Hg 0.000 0.000 0.000
Hg -0.028 5.070 3.421
Hg 2.196 3.736 0.000
Hg 2.262 0.934 3.766
Te 0.051 -0.129 5.585
Te 2.183 6.133 1.602
Br -0.006 2.380 2.026
Br 2.240 3.624 5.161
```

Calculated values
Formation energy from raw total energies ... -0.190 eV per atom
Crystal system ... triclinic
Polymorph energy (0 for the lowest one) ... 66 meV/atom
D(E_F) ... 2.49 states/eV per cell